This record from Alexandria via LeMat-Bulk describes crystalline SrNiPd2F8 at its relaxed geometry. The functional is GGA+U.

Results
V   190.08 Å³ per cell
Energy   -4.297 eV per atom

a = 6.2782 Å, b = 6.2782 Å, c = 6.2782 Å
α = 111.04°, β = 111.04°, γ = 106.37°
Last column: nearest neighbours and their distance in Å.
Sites, in units of the cell vectors:
1 Sr 0.2500 0.7500 0.5000  8 F 2.36-2.61
2 F 0.2757 0.4446 0.1689  1 Pd 2.07
3 F 0.7426 0.0402 0.7025  1 Ni 2.14, 1 Pd 2.14
4 F 0.5554 0.7243 0.8311  1 Pd 2.07
5 F 0.9598 0.2574 0.2975  1 Ni 2.14, 1 Pd 2.14
6 F 0.9598 0.6623 0.7025  1 Ni 2.14, 1 Pd 2.14
7 F 0.3377 0.0402 0.2975  1 Ni 2.14, 1 Pd 2.14
8 F 0.2757 0.1068 0.8311  1 Pd 2.07
9 F 0.8932 0.7243 0.1689  1 Pd 2.07
10 Ni 0.0000 0.0000 0.0000  4 F 2.14
11 Pd 0.7500 0.2500 0.5000  4 F 2.14
12 Pd 0.5000 0.5000 0.0000  4 F 2.07